# TmHgTeO, optimized geometry, DFT PBE
# Calculated volume, Å³/cell: 176.43
# Symmetry: P4/nmm
data_TmHgTeO
_chemical_formula_sum 'Tm2 Hg2 Te2 O2'
_space_group_name_H-M_alt 'P 1'
_space_group_IT_number 1
_space_group_name_Hall 'P 1'
_cell_length_a 4.0331
_cell_length_b 4.0331
_cell_length_c 10.8462
_cell_angle_alpha 90.00
_cell_angle_beta 90.00
_cell_angle_gamma 90.00
loop_
_atom_site_label
_atom_site_fract_x
_atom_site_fract_y
_atom_site_fract_z
_atom_site_occupancy
O1 0.7500 0.2500 0.0000 1
O2 0.2500 0.7500 0.0000 1
Tm1 0.7500 0.7500 0.9090 1
Tm2 0.2500 0.2500 0.0910 1
Te1 0.2500 0.2500 0.7436 1
Te2 0.7500 0.7500 0.2564 1
Hg1 0.2500 0.7500 0.5000 1
Hg2 0.7500 0.2500 0.5000 1


# TaInPO, optimized geometry, DFT PBE
# Calculated volume, Å³/cell: 156.27
# Symmetry: Pmc2_1
data_TaInPO
_chemical_formula_sum 'Ta2 In2 P2 O2'
_space_group_name_H-M_alt 'P 1'
_space_group_IT_number 1
_space_group_name_Hall 'P 1'
_cell_length_a 3.8273
_cell_length_b 8.1258
_cell_length_c 5.0248
_cell_angle_alpha 90.00
_cell_angle_beta 90.00
_cell_angle_gamma 90.00
loop_
_atom_site_label
_atom_site_fract_x
_atom_site_fract_y
_atom_site_fract_z
_atom_site_occupancy
O1 0.5000 0.6644 0.4282 1
O2 0.5000 0.3356 0.9282 1
In1 0.5000 0.9117 0.9739 1
In2 0.5000 0.0883 0.4739 1
P1 0.0000 0.6838 0.9249 1
P2 0.0000 0.3162 0.4249 1
Ta1 0.0000 0.6192 0.4270 1
Ta2 0.0000 0.3808 0.9270 1


# NaCo3Pb5, optimized geometry, DFT PBE
# Calculated volume, Å³/cell: 207.48
# Symmetry: P6/mmm
data_NaCo3Pb5
_chemical_formula_sum 'Na1 Co3 Pb5'
_space_group_name_H-M_alt 'P 1'
_space_group_IT_number 1
_space_group_name_Hall 'P 1'
_cell_length_a 5.4333
_cell_length_b 5.4333
_cell_length_c 8.1158
_cell_angle_alpha 90.00
_cell_angle_beta 90.00
_cell_angle_gamma 120.00
loop_
_atom_site_label
_atom_site_fract_x
_atom_site_fract_y
_atom_site_fract_z
_atom_site_occupancy
Pb1 0.6667 0.3333 0.7760 1
Pb2 0.0000 0.0000 0.5000 1
Pb3 0.3333 0.6667 0.2240 1
Pb4 0.6667 0.3333 0.2240 1
Pb5 0.3333 0.6667 0.7760 1
Co1 0.0000 0.5000 0.5000 1
Co2 0.5000 0.5000 0.5000 1
Co3 0.5000 0.0000 0.5000 1
Na1 0.0000 0.0000 0.0000 1


Final energy per entry: -4.8683; -7.2159; -4.3755 eV/atom